# 1
## Pm2Dy6Y3Tl (PBE-GGA)

Data for a relaxed Pm2Dy6Y3Tl crystal.

```
Pm2Dy6Y3Tl
1.0
-3.7467 4.7698 -0.8025
1.1744 -2.0574 5.6410
9.8768 6.2989 -0.8691
Pm Dy Y Tl
2 6 3 1
Cartesian
-0.4681 0.2213 3.4904
-2.1042 2.4911 1.3482
4.6727 7.8940 1.9344
0.5279 3.6223 3.4349
2.6317 1.1173 2.0350
6.2878 5.6534 4.0491
6.7766 5.3890 0.5345
1.0167 3.3579 -0.0797
5.2934 2.2287 4.1336
2.0110 6.7826 -0.1642
3.6522 4.5056 1.9847
0.0000 0.0000 0.0000
```

Summary:
- SG: C2/m
- Final energy: -4.929 eV per atom

# 2
## PmDyYTl (PBE-GGA)

Data for a relaxed PmDyYTl crystal.

```
PmDyYTl
1.0
5.5198 0.0000 0.0000
2.7599 4.7803 0.0000
2.7599 1.5934 4.5069
Y Tl Pm Dy
1 1 1 1
Cartesian
2.7599 1.5934 1.1267
0.0000 0.0000 0.0000
8.2797 4.7803 3.3802
5.5198 3.1869 2.2535
```

Summary:
- Excess energy over the best structure of this formula in the dataset: 13.2 kJ/mol of atoms
- SG: F-43m

# 3
## Pm2DyTl2Zn2 (PBE-GGA)

Data for a relaxed Pm2DyTl2Zn2 crystal.

```
Pm2DyTl2Zn2
1.0
4.7558 0.0000 0.0000
2.3779 4.1186 0.0000
2.3779 1.3729 9.4004
Pm Dy Tl Zn
2 1 2 2
Cartesian
2.3779 1.3729 5.8512
7.1337 4.1186 3.5492
0.0000 0.0000 0.0000
7.1337 4.1186 7.4804
2.3779 1.3729 1.9200
4.7558 2.7457 1.5892
4.7558 2.7457 7.8113
```

Summary:
- SG: R-3m
- Final energy: -3.232 eV per atom

# 4
## PmDy2Tl2Zn2 (PBE-GGA)

Data for a relaxed PmDy2Tl2Zn2 crystal.

```
PmDy2Tl2Zn2
1.0
-3.3992 -0.8451 -3.2515
-2.8822 -3.7815 0.4836
-7.9171 3.5070 3.8529
Pm Dy Tl Zn
1 2 2 2
Cartesian
0.0000 0.0000 0.0000
-5.6421 1.5344 1.9873
-8.5563 -2.6541 -0.9022
-10.9114 -0.6121 1.0291
-3.2871 -0.5076 0.0559
-5.7139 -1.7610 -0.5936
-8.4846 0.6414 1.6786
```

Summary:
- SG: R-3m
- Final energy: -3.205 eV per atom

# 5
## Pm2Dy4Tm (PBE-GGA)

Data for a relaxed Pm2Dy4Tm crystal.

```
Pm2Dy4Tm
1.0
3.7361 0.0000 0.0000
0.0000 12.6516 0.0000
0.0000 0.0000 19.4770
Pm Dy Tm
8 16 4
Cartesian
3.7358 11.2651 16.1911
1.8677 7.7122 3.2858
0.0003 4.9393 13.0243
1.8683 1.3864 6.4527
0.0003 1.3865 3.2858
1.8683 4.9394 16.1912
3.7358 7.7122 6.4527
1.8677 11.2652 13.0243
0.0003 9.2784 11.0142
1.8683 9.6990 8.4629
3.7358 2.9527 18.2013
1.8677 3.3733 1.2756
3.7358 3.3731 8.4628
1.8677 2.9525 11.0141
0.0003 9.6989 1.2757
1.8683 9.2783 18.2013
3.7355 1.3531 13.1958
1.8674 4.9726 6.2811
0.0006 7.6789 16.0197
1.8686 11.2984 3.4574
0.0006 11.2984 6.2812
1.8686 7.6790 13.1959
3.7355 4.9726 3.4573
1.8674 1.3532 16.0196
0.0000 0.0000 9.7385
1.8680 6.3258 9.7385
0.0000 6.3258 0.0000
1.8680 0.0000 0.0000
```

Summary:
- Excess energy over the best structure of this formula in the dataset: 2.0 kJ/mol of atoms
- SG: Cmce

# 6
## Pm4Dy2Tm (PBE-GGA)

Data for a relaxed Pm4Dy2Tm crystal.

```
Pm4Dy2Tm
1.0
12.0206 -3.0772 -1.5507
-9.4101 8.0880 -1.5506
0.0224 0.0430 6.7830
Pm Dy Tm
8 4 2
Cartesian
6.9296 -0.7498 4.4701
-4.5963 5.2278 1.0787
-5.2394 5.9016 4.5450
7.8279 -0.9336 1.1535
-0.9132 1.1262 3.8119
1.1202 3.1281 -0.8535
1.9326 2.7322 2.5380
1.4349 -0.1244 0.4204
4.6420 0.5473 1.6253
10.1184 -2.0138 -1.2502
-7.4375 7.1600 2.1413
-2.2002 4.1393 5.0168
-1.2371 4.1624 1.6927
4.1089 1.3498 -1.6988
```

Summary:
- Excess energy over the best structure of this formula in the dataset: 0.0 kJ/mol of atoms
- SG: Fdd2

# 7
## Pm5Dy2Tm4 (PBE-GGA)

Data for a relaxed Pm5Dy2Tm4 crystal.

```
Pm5Dy2Tm4
1.0
6.3969 -0.0131 1.7357
2.2607 5.9841 1.7357
-0.1372 -0.0946 9.2564
Pm Dy Tm
5 2 4
Cartesian
4.5511 1.1978 8.6045
3.9694 4.6787 4.1233
-0.0686 -0.0473 4.6282
2.7368 3.8285 8.6045
5.7838 2.0480 4.1233
1.1416 0.7873 8.6627
7.3790 5.0892 4.0650
2.5550 1.7621 5.6680
5.9655 4.1143 7.0597
5.6244 3.8791 10.4835
2.8961 1.9974 2.2442
```

Summary:
- Excess energy over the best structure of this formula in the dataset: 0.0 kJ/mol of atoms
- SG: C2/m

# 8
## PmDy6Tm (PBE-GGA)

Data for a relaxed PmDy6Tm crystal.

```
PmDy6Tm
1.0
6.3025 -0.2036 2.3145
0.4981 6.4717 -0.7106
0.9892 -0.9761 6.7706
Pm Dy Tm
1 6 1
Cartesian
0.0000 0.0000 0.0000
1.4388 4.2264 2.9072
4.5357 4.3492 4.2868
3.2541 0.9428 4.0878
6.3510 1.0656 5.4673
4.8125 3.7508 7.4887
2.9774 1.5412 0.8858
0.2491 3.2358 -0.3553
```

Summary:
- Excess energy over the best structure of this formula in the dataset: 17.6 kJ/mol of atoms
- SG: P-1

# 9
## Pm6Dy3Tm2 (PBE-GGA)

Data for a relaxed Pm6Dy3Tm2 crystal.

```
Pm6Dy3Tm2
1.0
-3.8741 2.6188 -0.9010
-2.4590 -2.5398 3.1909
7.6470 10.7244 10.8755
Pm Dy Tm
6 3 2
Cartesian
-0.1559 1.3094 4.4759
-0.8634 3.8887 2.4299
1.4697 9.4940 8.6895
2.1773 6.9146 10.7354
-1.3743 4.3453 5.9533
2.6882 6.4581 7.2120
0.0000 0.0000 0.0000
-0.4561 6.5511 8.4167
1.7700 4.2522 4.7486
4.0746 9.7889 10.9316
-2.7607 1.0145 2.2337
```

Summary:
- Excess energy over the best structure of this formula in the dataset: 27.1 kJ/mol of atoms
- SG: I4/mmm

# 10
## Pm6DyTm12 (PBE-GGA)

Data for a relaxed Pm6DyTm12 crystal.

```
Pm6DyTm12
1.0
8.3490 1.2807 1.5342
0.0001 8.4467 1.5342
0.0001 0.0002 8.5849
Pm Dy Tm
6 1 12
Cartesian
6.4081 7.4671 3.7657
6.9774 3.0340 3.6336
1.9401 7.3566 3.6345
1.9412 2.2605 7.8876
1.3719 6.6935 8.0198
6.4093 2.3710 8.0188
0.0000 0.0000 0.0000
6.7164 5.1387 6.1551
4.0602 7.4177 6.1559
4.0611 4.7306 8.3984
1.6329 4.5888 5.4982
4.2891 2.3098 5.4975
4.2882 4.9970 3.2550
1.1443 1.3331 4.5737
7.2052 5.4657 9.5243
4.3102 7.9503 9.5245
7.2050 8.3945 7.0796
1.1442 4.2619 2.1291
4.0391 1.7772 2.1289
```

Summary:
- Excess energy over the best structure of this formula in the dataset: 0.0 kJ/mol of atoms
- SG: R-3m

# 11
## Pm3DyTm (PBE-GGA)

Data for a relaxed Pm3DyTm crystal.

```
Pm3DyTm
1.0
-2.1108 -0.0624 -5.8440
-0.9380 -5.8933 -1.7634
-9.5089 0.4029 0.1211
Pm Dy Tm
6 2 2
Cartesian
-7.4199 -3.6608 -4.3814
-4.0586 -3.8331 -5.5894
-5.8902 -0.6820 -0.5797
-10.2096 -3.6031 -6.6765
-8.6805 -0.6270 -2.8762
-2.5323 -0.8563 -1.7883
-11.4168 -0.5698 -5.1934
-4.6830 -3.7160 -2.0632
-10.8293 -3.4863 -3.1525
-5.2707 -0.8011 -4.1042
```

Summary:
- Excess energy over the best structure of this formula in the dataset: 0.0 kJ/mol of atoms
- SG: C2/c

# 12
## Pm4Dy4Tm3 (PBE-GGA)

Data for a relaxed Pm4Dy4Tm3 crystal.

```
Pm4Dy4Tm3
1.0
-0.5819 -3.4402 0.8906
8.5394 -2.2409 -3.0767
0.0606 4.7075 10.9446
Pm Dy Tm
4 4 3
Cartesian
3.6144 -1.9047 2.2843
1.3557 1.7309 7.5724
4.4037 0.9311 6.4742
6.6624 -2.7046 1.1861
1.6449 -0.8254 5.1666
6.3732 -0.1483 3.5919
6.6877 -3.5515 -2.0691
1.2698 -2.1297 -0.1170
7.1518 -1.3740 6.6456
0.8663 0.4004 2.1129
4.2697 -1.1205 -1.5384
```

Summary:
- Excess energy over the best structure of this formula in the dataset: 5.6 kJ/mol of atoms
- SG: Immm

| no. | N(E_F) (states/eV/cell) |
| --- | --- |
| 1 | 16.2 |
| 2 | 4.7 |
| 3 | 3.3 |
| 4 | 3.7 |
| 5 | 27.5 |
| 6 | 20.2 |
| 7 | 13.9 |
| 8 | 13.6 |
| 9 | 16.4 |
| 10 | 28.6 |
| 11 | 13.3 |
| 12 | 18.4 |